First-principles (meta-GGA SCAN) data for a crystal of CaTl2W relaxed with PBEsol, as listed in Alexandria.

Properties
E_form: 620 meV per atom
raw total energy: -55.397 eV per atom
crystal system: trigonal

Unit cell a=3.2412 b=3.2412 c=29.1532 alpha=90.00 beta=90.00 gamma=120.00
With the nearest neighbours (Å) after each atom.
Space group R-3m (No. 166, hexagonal axes)
Symmetry-distinct sites (fractional):
Ca: 0.0000 0.0000 0.0000 [3 per cell]  6 Tl 3.19, 6 Ca 3.24
Tl: 0.0000 0.0000 0.2447 [6 per cell]  3 W 2.95, 3 Ca 3.19, 6 Tl 3.24
W: 0.0000 0.0000 0.5000 [3 per cell]  6 Tl 2.95, 6 W 3.24

---

First-principles (meta-GGA SCAN) data for a crystal of CaTlW2 relaxed with PBEsol, as listed in Alexandria.

Properties
E_form: 864 meV per atom
raw total energy: -54.486 eV per atom
crystal system: monoclinic

Unit cell a=2.8650 b=5.1553 c=5.2905 alpha=90.00 beta=93.80 gamma=90.00
With the nearest neighbours (Å) after each atom.
Space group P2/m (No. 10)
Symmetry-distinct sites (fractional):
Ca: 0.0000 0.0000 0.0000 [1 per cell]  2 Ca 2.87, 4 Tl 2.92-3.09, 4 W 3.04
Tl: 0.5000 0.0000 0.5000 [1 per cell]  2 Tl 2.87, 4 Ca 2.92-3.09, 4 W 3.00
W: 0.3375 0.5000 0.7688 [2 per cell]  3 W 2.56-2.87

---

First-principles (meta-GGA SCAN) data for a crystal of CaTlW2 relaxed with PBEsol, as listed in Alexandria.

Properties
E_form: 1640 meV per atom
raw total energy: -53.709 eV per atom
crystal system: cubic

Unit cell a=6.7420 b=6.7420 c=6.7420 alpha=90.00 beta=90.00 gamma=90.00
With the nearest neighbours (Å) after each atom.
Space group Fm-3m (No. 225)
Symmetry-distinct sites (fractional):
Ca: 0.0000 0.0000 0.0000 [4 per cell]  8 W 2.92
Tl: 0.0000 0.0000 0.5000 [4 per cell]  8 W 2.92
W: 0.2500 0.2500 0.2500 [8 per cell]  4 Tl 2.92, 4 Ca 2.92

---

First-principles (meta-GGA SCAN) data for a crystal of CaTl2W relaxed with PBEsol, as listed in Alexandria.

Properties
E_form: 651 meV per atom
raw total energy: -55.366 eV per atom
crystal system: monoclinic

Unit cell a=3.0191 b=5.3493 c=5.5003 alpha=90.00 beta=94.46 gamma=90.00
With the nearest neighbours (Å) after each atom.
Space group Pm (No. 6)
Symmetry-distinct sites (fractional):
Ca: 0.0000 0.0000 0.0000 [1 per cell]  6 Tl 2.98-3.33, 2 Ca 3.02, 2 W 3.28
Tl: 0.4853 0.0000 0.5148 [1 per cell]  2 W 2.95, 3 Ca 2.98-3.14, 4 Tl 3.02-3.17
Tl: 0.6176 0.5000 0.2196 [1 per cell]  2 W 2.86-2.94, 4 Tl 3.02-3.17, 2 Ca 3.19
W: 0.3144 0.5000 0.7147 [1 per cell]  4 Tl 2.86-2.95, 2 W 3.02

---

| no. | density of states at the Fermi level (states/eV per cell) | volume (A^3/atom) |
| --- | --- | --- |
| 1 | 5.79 | 22.10 |
| 2 | 2.26 | 19.49 |
| 3 | 16.02 | 19.15 |
| 4 | 2.84 | 22.14 |